Zn2HCl6: optimized geometry, PBE.

Computed properties:
- E (eV per atom) = -2.6333

Cell lengths 6.3271, 9.0817, 9.0817 Å; angles 90.65, 94.68, 94.68 degrees
Closest atoms and distances in Å follow each position.
Fractional coordinates of all 18 atoms:
Zn 0.1553 0.3850 0.2425  4 Cl 2.26-2.32
Zn 0.3447 0.7575 0.6150  4 Cl 2.26-2.32
Zn 0.8447 0.6150 0.7575  4 Cl 2.26-2.32
Zn 0.6553 0.2425 0.3850  4 Cl 2.26-2.32
H 0.2500 0.7152 0.2848  2 Cl 1.57
H 0.7500 0.2848 0.7152  2 Cl 1.57
Cl 0.3356 0.3053 0.4554  2 Zn 2.28-2.32
Cl 0.1644 0.5446 0.6947  2 Zn 2.28-2.32
Cl 0.6644 0.6947 0.5446  2 Zn 2.28-2.32
Cl 0.8356 0.4554 0.3053  2 Zn 2.28-2.32
Cl 0.8147 0.1654 0.6041  1 H 1.57
Cl 0.6853 0.3959 0.8346  1 H 1.57
Cl 0.1853 0.8346 0.3959  1 H 1.57
Cl 0.3147 0.6041 0.1654  1 H 1.57
Cl 0.1199 0.1777 0.0996  1 Zn 2.26
Cl 0.3801 0.9004 0.8223  1 Zn 2.26
Cl 0.8801 0.8223 0.9004  1 Zn 2.26
Cl 0.6199 0.0996 0.1777  1 Zn 2.26


Ca8Tl2Cu: optimized geometry, PBE.

Computed properties:
- E (eV per atom) = -2.4584
- relative energy among the computed polymorphs (eV/atom) = 0.0000

Cell lengths 5.4544, 7.3734, 9.8269 Å; angles 107.82, 106.11, 90.00 degrees
Closest atoms and distances in Å follow each position.
Fractional coordinates of all 11 atoms:
Ca 0.4048 0.5658 0.8096  1 Cu 3.13, 2 Tl 3.47
Ca 0.6564 0.9557 0.3128  1 Cu 3.07, 3 Tl 3.27-3.40
Ca 0.7947 0.7023 0.5894  3 Tl 3.20-3.47
Ca 0.9758 0.2111 0.9516  1 Tl 3.21, 2 Cu 3.24, 3 Ca 3.51-3.59
Ca 0.2053 0.2977 0.4106  3 Tl 3.20-3.47
Ca 0.3436 0.0443 0.6872  1 Cu 3.07, 3 Tl 3.27-3.40
Ca 0.5952 0.4342 0.1904  1 Cu 3.13, 2 Tl 3.47
Ca 0.0242 0.7889 0.0484  1 Tl 3.21, 2 Cu 3.24, 3 Ca 3.51-3.59
Tl 0.8186 0.2924 0.6373  9 Ca 3.20-3.47
Tl 0.1814 0.7076 0.3627  9 Ca 3.20-3.47
Cu 0.5000 0.0000 0.0000  8 Ca 3.07-3.24


Np2O3: optimized geometry, PBE.

Computed properties:
- E (eV per atom) = -10.8545

Cell lengths 6.1262, 6.1262, 6.1262 Å; angles 58.28, 58.28, 58.28 degrees
Closest atoms and distances in Å follow each position.
Fractional coordinates of all 10 atoms:
Np 0.6386 0.6386 0.6386  6 O 2.31-2.39
Np 0.8614 0.8614 0.8614  6 O 2.31-2.39
Np 0.1386 0.1386 0.1386  6 O 2.31-2.39
Np 0.3614 0.3614 0.3614  6 O 2.31-2.39
O 0.2500 0.9676 0.5324  4 Np 2.31-2.39
O 0.5324 0.2500 0.9676  4 Np 2.31-2.39
O 0.9676 0.5324 0.2500  4 Np 2.31-2.39
O 0.0324 0.4676 0.7500  4 Np 2.31-2.39
O 0.4676 0.7500 0.0324  4 Np 2.31-2.39
O 0.7500 0.0324 0.4676  4 Np 2.31-2.39


CaTa2Re: optimized geometry, PBE.

Computed properties:
- E (eV per atom) = -8.8127
- relative energy among the computed polymorphs (eV/atom) = 0.3687

Cell lengths 3.2946, 4.8007, 4.7526 Å; angles 90.00, 90.00, 90.00 degrees
Closest atoms and distances in Å follow each position.
Fractional coordinates of all 4 atoms:
Re 0.0000 0.5000 0.5000  4 Ta 2.89, 4 Ca 2.91
Ca 0.5000 0.0000 0.5000  4 Ta 2.89, 4 Re 2.91
Ta 0.0000 0.0000 0.0000  4 Ca 2.89, 4 Ta 2.91
Ta 0.5000 0.5000 0.0000  4 Re 2.89, 4 Ta 2.91


LiLa4Dy3Te8: optimized geometry, PBE.

Computed properties:
- E (eV per atom) = -5.2229

Cell lengths 8.9051, 8.9373, 8.9056 Å; angles 119.88, 120.00, 90.00 degrees
Closest atoms and distances in Å follow each position.
Fractional coordinates of all 16 atoms:
Li 0.0000 0.5000 0.0000  6 Te 3.03
La 0.5000 0.0000 0.0000  6 Te 3.28
La 0.5000 0.0000 0.5000  6 Te 3.22-3.23
La 0.0000 0.0000 0.0000  6 Te 3.22-3.23
La 0.0000 0.0000 0.5000  6 Te 3.22-3.23
Dy 0.5000 0.5000 0.0000  6 Te 3.09
Dy 0.5000 0.5000 0.5000  6 Te 3.09
Dy 0.0000 0.5000 0.5000  6 Te 3.09
Te 0.2400 0.7290 0.9890  1 Li 3.03, 2 Dy 3.09, 3 La 3.23-3.28
Te 0.2401 0.7291 0.4803  1 Li 3.03, 2 Dy 3.09, 3 La 3.23-3.28
Te 0.2554 0.2662 0.5108  3 Dy 3.09, 3 La 3.22
Te 0.7489 0.7290 0.9890  1 Li 3.03, 2 Dy 3.09, 3 La 3.23-3.28
Te 0.2511 0.2710 0.0110  1 Li 3.03, 2 Dy 3.09, 3 La 3.23-3.28
Te 0.7446 0.7338 0.4892  3 Dy 3.09, 3 La 3.22
Te 0.7599 0.2709 0.5197  1 Li 3.03, 2 Dy 3.09, 3 La 3.23-3.28
Te 0.7600 0.2710 0.0110  1 Li 3.03, 2 Dy 3.09, 3 La 3.23-3.28


Y3TlO: optimized geometry, PBE.

Computed properties:
- E (eV per atom) = -5.2203

Cell lengths 5.3228, 5.3228, 12.3694 Å; angles 77.58, 77.58, 90.00 degrees
Closest atoms and distances in Å follow each position.
Fractional coordinates of all 10 atoms:
Y 0.1123 0.8733 0.2535  2 Y 2.55-2.78
Y 0.1267 0.8877 0.7465  2 Y 2.55-2.78
Y 0.1267 0.3658 0.7465  2 Y 2.55-2.78
Y 0.6342 0.8733 0.2535  2 Y 2.55-2.78
Y 0.3060 0.3060 0.3879  2 O 2.80, 2 Tl 2.97
Y 0.6940 0.6940 0.6121  2 O 2.80, 2 Tl 2.97
Tl 0.0000 0.0000 0.0000  4 Y 3.25
Tl 0.2500 0.7500 0.5000  8 Y 2.97-3.22
O 0.6567 0.1567 0.6865  6 Y 2.80-3.03
O 0.8433 0.3433 0.3135  6 Y 2.80-3.03


ErGeHIr: optimized geometry, PBE.

Computed properties:
- E (eV per atom) = -6.1084

Cell lengths 4.0889, 4.0889, 7.1367 Å; angles 90.00, 90.00, 90.00 degrees
Closest atoms and distances in Å follow each position.
Fractional coordinates of all 8 atoms:
Er 0.5000 0.0000 0.6583  4 H 2.34
Er 0.0000 0.5000 0.3417  4 H 2.34
Ge 0.0000 0.5000 0.7997  4 Ir 2.49
Ge 0.5000 0.0000 0.2003  4 Ir 2.49
H 0.0000 0.0000 0.5000  4 Er 2.34
H 0.5000 0.5000 0.5000  4 Er 2.34
Ir 0.5000 0.5000 0.0000  4 Ge 2.49
Ir 0.0000 0.0000 0.0000  4 Ge 2.49


CeCo5P3: optimized geometry, PBE.

Computed properties:
- E (eV per atom) = -7.2123
- relative energy among the computed polymorphs (eV/atom) = 0.0138

Cell lengths 3.5940, 5.9700, 11.3314 Å; angles 90.00, 90.00, 107.52 degrees
Closest atoms and distances in Å follow each position.
Fractional coordinates of all 18 atoms:
Ce 0.8410 0.6820 0.7500  7 P 3.02-3.18, 10 Co 3.16-3.36
Ce 0.1590 0.3180 0.2500  7 P 3.02-3.18, 10 Co 3.16-3.36
Co 0.8009 0.6019 0.4295  2 P 2.12-2.27
Co 0.1991 0.3981 0.9295  2 P 2.12-2.27
Co 0.0000 0.0000 0.5000  4 P 2.28, 6 Co 2.40-2.49
Co 0.0000 0.0000 0.0000  4 P 2.28, 6 Co 2.40-2.49
Co 0.4467 0.8935 0.1424  4 P 2.19-2.27, 1 Co 2.44
Co 0.5533 0.1065 0.8576  4 P 2.19-2.27, 1 Co 2.44
Co 0.5533 0.1065 0.6424  4 P 2.19-2.27, 1 Co 2.44
Co 0.8009 0.6019 0.0705  2 P 2.12-2.27
Co 0.1991 0.3981 0.5705  2 P 2.12-2.27
Co 0.4467 0.8935 0.3576  4 P 2.19-2.27, 1 Co 2.44
P 0.3830 0.7660 0.9599  5 Co 2.12-2.28
P 0.8891 0.7782 0.2500  6 Co 2.27
P 0.3830 0.7660 0.5401  5 Co 2.12-2.28
P 0.6170 0.2340 0.4599  5 Co 2.12-2.28
P 0.1109 0.2218 0.7500  6 Co 2.27
P 0.6170 0.2340 0.0401  5 Co 2.12-2.28


Please write out number 8 again, unchanged.
CeCo5P3: optimized geometry, PBE.

Computed properties:
- E (eV per atom) = -7.2123
- relative energy among the computed polymorphs (eV/atom) = 0.0138

Cell lengths 3.5940, 5.9700, 11.3314 Å; angles 90.00, 90.00, 107.52 degrees
Closest atoms and distances in Å follow each position.
Fractional coordinates of all 18 atoms:
Ce 0.8410 0.6820 0.7500  7 P 3.02-3.18, 10 Co 3.16-3.36
Ce 0.1590 0.3180 0.2500  7 P 3.02-3.18, 10 Co 3.16-3.36
Co 0.8009 0.6019 0.4295  2 P 2.12-2.27
Co 0.1991 0.3981 0.9295  2 P 2.12-2.27
Co 0.0000 0.0000 0.5000  4 P 2.28, 6 Co 2.40-2.49
Co 0.0000 0.0000 0.0000  4 P 2.28, 6 Co 2.40-2.49
Co 0.4467 0.8935 0.1424  4 P 2.19-2.27, 1 Co 2.44
Co 0.5533 0.1065 0.8576  4 P 2.19-2.27, 1 Co 2.44
Co 0.5533 0.1065 0.6424  4 P 2.19-2.27, 1 Co 2.44
Co 0.8009 0.6019 0.0705  2 P 2.12-2.27
Co 0.1991 0.3981 0.5705  2 P 2.12-2.27
Co 0.4467 0.8935 0.3576  4 P 2.19-2.27, 1 Co 2.44
P 0.3830 0.7660 0.9599  5 Co 2.12-2.28
P 0.8891 0.7782 0.2500  6 Co 2.27
P 0.3830 0.7660 0.5401  5 Co 2.12-2.28
P 0.6170 0.2340 0.4599  5 Co 2.12-2.28
P 0.1109 0.2218 0.7500  6 Co 2.27
P 0.6170 0.2340 0.0401  5 Co 2.12-2.28